Entry from Alexandria via LeMat-Bulk: a relaxed structure of AlCo (PBE).

Output
Uncorrected energy: -0.2090 Ha/atom
Calculated formation energy: -0.26 eV/atom
N(E_F): 0.9997 states/eV per atom
Magnetic moment: 0.966 μB per cell

abc: 5.7412 5.7412 5.0734
angles: 104.70 104.70 27.17
With the nearest neighbours (Å) after each atom.
Positions (direct):
Al 0.0000 0.0000 0.0000  6 Co 2.46-2.54, 2 Al 2.70
Al 0.3293 0.3293 0.2084  6 Co 2.45-2.63, 4 Al 2.70-2.73
Al 0.6707 0.6707 0.7916  6 Co 2.45-2.63, 4 Al 2.70-2.73
Co 0.0000 0.0000 0.5000  6 Al 2.48-2.54, 6 Co 2.65-2.70
Co 0.3371 0.3371 0.6948  6 Al 2.45-2.63, 6 Co 2.65-2.74
Co 0.6629 0.6629 0.3052  6 Al 2.45-2.63, 6 Co 2.65-2.74


Entry from Alexandria via LeMat-Bulk: a relaxed structure of AlCo5 (PBE).

Output
Uncorrected energy: -0.2448 Ha/atom
Calculated formation energy: -0.11 eV/atom
N(E_F): 1.0922 states/eV per atom
Excess energy over the best structure of this formula in the dataset: 15 meV per atom
Magnetic moment: 7.018 μB per cell

abc: 4.7724 4.7724 5.8631
angles: 105.35 105.35 31.72
With the nearest neighbours (Å) after each atom.
Positions (direct):
Al 0.0000 0.0000 0.0000  10 Co 2.48-2.58, 2 Al 2.61
Co 0.0425 0.0425 0.5877  11 Co 2.46-2.61, 1 Al 2.55
Co 0.3240 0.3240 0.6535  10 Co 2.42-2.61, 2 Al 2.58
Co 0.3718 0.3718 0.2617  10 Co 2.45-2.61, 2 Al 2.54
Co 0.6631 0.6631 0.3337  10 Co 2.42-2.61, 2 Al 2.48
Co 0.7144 0.7144 0.9177  9 Co 2.44-2.61, 3 Al 2.52-2.53